No. 1
Material: SbIrC3
Method: DFT, PBE-GGA
State: relaxed

Computed properties:
Space-group type: No. 221

a = 4.065 Å, b = 4.065 Å, c = 4.065 Å
α = 90.00°, β = 90.00°, γ = 90.00°
Atoms (fractional coordinates):
1 Sb 0.500 0.500 0.500
2 C 0.000 0.500 0.000
3 C 0.000 0.000 0.500
4 C 0.500 0.000 0.000
5 Ir 0.000 0.000 0.000



No. 2
Material: Sb3IrC
Method: DFT, PBE-GGA
State: relaxed

Computed properties:
Space-group type: No. 221

a = 5.143 Å, b = 5.143 Å, c = 5.143 Å
α = 90.00°, β = 90.00°, γ = 90.00°
Atoms (fractional coordinates):
1 Sb 0.000 0.500 0.000
2 Sb 0.000 0.000 0.500
3 Sb 0.500 0.000 0.000
4 C 0.500 0.500 0.500
5 Ir 0.000 0.000 0.000



Listing density of states at the Fermi level for the structures above in their given order: 0.71 1.08 states/eV per atom.
Listing energy relative to the elements, uncorrected for the structures above in their given order: 2.08 1.75 eV per atom.